# 1
Computed, not measured: Nd3IrSeBr after structural relaxation at the GGA-PBE level of DFT.

Summary:
total moment = 0.000 μB per atom
electronic total energy = -5.9894 eV per atom
formation energy (no corrections) = -1269.1 meV per atom

The structure in POSCAR format:
```
Nd3IrSeBr
1.0
7.880 0.000 0.000
0.000 4.223 0.000
-0.365 0.000 10.514
Nd Ir Se Br
6 2 2 2
direct
0.053 0.250 0.225
0.251 0.750 0.501
0.378 0.250 0.798
0.622 0.750 0.202
0.749 0.250 0.499
0.947 0.750 0.775
0.088 0.250 0.641
0.912 0.750 0.359
0.420 0.250 0.325
0.580 0.750 0.675
0.249 0.750 0.999
0.751 0.250 0.001
```

# 2
Computed, not measured: Cu3BiAs3 after structural relaxation at the GGA-PBE level of DFT.

Summary:
total moment = 0.000 μB per atom
electronic total energy = -3.9110 eV per atom
E_form = 2.74 eV/f.u.

The structure in POSCAR format:
```
Cu3BiAs3
1.0
6.689 0.000 0.000
0.000 6.689 0.000
0.000 0.000 6.689
Cu Bi As
6 2 6
direct
0.000 0.250 0.500
0.000 0.750 0.500
0.250 0.500 0.000
0.500 0.000 0.250
0.500 0.000 0.750
0.750 0.500 0.000
0.000 0.000 0.000
0.500 0.500 0.500
0.000 0.500 0.250
0.000 0.500 0.750
0.250 0.000 0.500
0.500 0.250 0.000
0.500 0.750 0.000
0.750 0.000 0.500
```

# 3
Computed, not measured: Te3SeS after structural relaxation at the GGA-PBE level of DFT.

Summary:
total moment = 0.232 μB per atom
electronic total energy = -2.5034 eV per atom
formation energy (no corrections) = 904.0 meV per atom
energy above the lowest structure with this stoichiometry = 0.820 eV/atom

The structure in POSCAR format:
```
Te3SeS
1.0
5.448 0.000 0.000
0.000 5.448 0.000
0.000 0.000 5.448
Te Se S
3 1 1
direct
0.000 0.000 0.500
0.000 0.500 0.000
0.500 0.000 0.000
0.000 0.000 0.000
0.500 0.500 0.500
```

# 4
Computed, not measured: LiCrCl2 after structural relaxation at the GGA-PBE level of DFT.

Summary:
total moment = 0.004 μB per atom
electronic total energy = -4.7724 eV per atom
formation energy (no corrections) = -964.7 meV per atom
energy above the lowest structure with this stoichiometry = 0.066 eV/atom

The structure in POSCAR format:
```
LiCrCl2
1.0
6.756 0.000 0.000
0.000 3.585 0.000
-0.046 0.000 7.069
Li Cr Cl
2 2 4
direct
0.000 0.000 0.000
0.125 0.000 0.504
0.703 0.500 0.565
0.772 0.500 0.306
0.004 0.500 0.750
0.123 0.500 0.246
0.465 0.000 0.617
0.654 0.000 0.106
```

# 5
Computed, not measured: CdSiRu2 after structural relaxation at the GGA-PBE level of DFT.

Summary:
total moment = 0.002 μB per atom
electronic total energy = -5.9076 eV per atom
formation energy (no corrections) = 314.8 meV per atom

The structure in POSCAR format:
```
CdSiRu2
1.0
-1.932 1.932 4.035
1.932 -1.932 4.035
1.932 1.932 -4.035
Cd Si Ru
1 1 2
direct
0.000 0.000 0.000
0.750 0.250 0.500
0.250 0.750 0.500
0.500 0.500 0.000
```

# 6
Computed, not measured: YAlMo after structural relaxation at the GGA-PBE level of DFT.

Summary:
total moment = 0.331 μB per atom
electronic total energy = -6.5263 eV per atom
E_form = 1.46 eV/f.u.
energy above the lowest structure with this stoichiometry = 0.524 eV/atom

The structure in POSCAR format:
```
YAlMo
1.0
0.000 3.242 3.242
3.242 0.000 3.242
3.242 3.242 0.000
Y Al Mo
1 1 1
direct
0.000 0.000 0.000
0.750 0.750 0.750
0.500 0.500 0.500
```

What are the ρ values for these records? In order: 7.4, 6.9, 5.1, 2.5, 9.4, 5.2 g cm⁻³.